Entry 1:
DFT (PBE-GGA) results for a relaxed structure of Sr2ZnIn.

Lattice parameters (Å, degrees): 5.5805 5.5805 5.5805 60.00 60.00 60.00
With the nearest neighbours (Å) after each atom.
Element x y z (fractional)
In1 0.5000 0.5000 0.5000  4 Sr 3.42, 4 Zn 3.42
Sr1 0.0000 0.0000 0.0000  4 Sr 3.42, 4 Zn 3.42
Sr2 0.2500 0.2500 0.2500  4 In 3.42, 4 Sr 3.42
Zn1 0.7500 0.7500 0.7500  4 In 3.42, 4 Sr 3.42

Results
The calculated volume is 122.9 Å³/cell. Its symmetry is F-43m (216). Its formation enthalpy at 0 K is -0.06 eV per atom.

=====

Entry 2:
DFT (PBE-GGA) results for a relaxed structure of SrZrIn2.

Lattice parameters (Å, degrees): 3.5993 4.9205 6.4948 90.00 90.00 90.00
With the nearest neighbours (Å) after each atom.
Element x y z (fractional)
In1 0.0000 0.0000 0.9463  2 Sr 3.12-3.37, 4 Zr 3.16
In2 0.5000 0.5000 0.2713  1 Zr 2.95, 4 Sr 3.30
Sr1 0.0000 0.0000 0.4655  6 In 3.12-3.37
Zr1 0.5000 0.5000 0.8169  5 In 2.95-3.16

Results
The calculated volume is 115.0 Å³/cell. Its symmetry is Pmm2 (25). Its formation enthalpy at 0 K is 0.05 eV per atom.

=====

Entry 3:
DFT (PBE-GGA) results for a relaxed structure of SrZrIn2.

Lattice parameters (Å, degrees): 5.5845 5.5844 3.3898 90.00 90.00 90.00
With the nearest neighbours (Å) after each atom.
Element x y z (fractional)
In1 0.0000 0.0000 0.0000  4 Zr 3.27, 4 Sr 3.27, 2 In 3.39
In2 0.5000 0.5000 0.0000  4 Sr 3.27, 4 Zr 3.27, 2 In 3.39
Sr1 0.5000 0.0000 0.5000  8 In 3.27, 2 Sr 3.39
Zr1 0.0000 0.5000 0.5000  8 In 3.27, 2 Zr 3.39

Results
The calculated volume is 105.7 Å³/cell. Its symmetry is P4/mmm (123). Its formation enthalpy at 0 K is -0.15 eV per atom.

=====

Entry 4:
DFT (PBE-GGA) results for a relaxed structure of SrZr2In2.

Lattice parameters (Å, degrees): 9.0040 9.0040 3.2153 90.00 90.00 90.00
With the nearest neighbours (Å) after each atom.
Element x y z (fractional)
Sr1 0.0000 0.0000 0.0000  2 Sr 3.22, 4 Zr 3.60
Sr2 0.5000 0.5000 0.0000  2 Sr 3.22, 4 Zr 3.60
Zr1 0.3814 0.8814 0.0000  3 Zr 3.02-3.22, 6 In 3.07-3.15
Zr2 0.8814 0.6186 0.0000  3 Zr 3.02-3.22, 6 In 3.07-3.15
Zr3 0.6186 0.1186 0.0000  3 Zr 3.02-3.22, 6 In 3.07-3.15
Zr4 0.1186 0.3814 0.0000  3 Zr 3.02-3.22, 6 In 3.07-3.15
In1 0.1761 0.6761 0.5000  6 Zr 3.07-3.15, 2 In 3.22
In2 0.6761 0.8239 0.5000  6 Zr 3.07-3.15, 2 In 3.22
In3 0.8239 0.3239 0.5000  6 Zr 3.07-3.15, 2 In 3.22
In4 0.3239 0.1761 0.5000  6 Zr 3.07-3.15, 2 In 3.22

Results
The calculated volume is 260.7 Å³/cell. Its symmetry is P4/mbm (127). The energy relative to the lowest polymorph listed for this composition comes out at 0 meV/atom. Its formation enthalpy at 0 K is -0.13 eV per atom.

=====

Entry 5:
DFT (PBE-GGA) results for a relaxed structure of SrZrIn.

Lattice parameters (Å, degrees): 5.2315 5.2315 5.2315 60.00 60.00 60.00
With the nearest neighbours (Å) after each atom.
Element x y z (fractional)
In1 0.7500 0.7500 0.7500  4 Sr 3.20, 4 Zr 3.20
Sr1 0.0000 0.0000 0.0000  4 In 3.20
Zr1 0.5000 0.5000 0.5000  4 In 3.20

Results
The calculated volume is 101.2 Å³/cell. Its symmetry is F-43m (216). The energy relative to the lowest polymorph listed for this composition comes out at 549 meV/atom. Its formation enthalpy at 0 K is 0.38 eV per atom.

=====

Entry 6:
DFT (PBE-GGA) results for a relaxed structure of SrZrIn2.

Lattice parameters (Å, degrees): 3.5382 3.5382 9.0531 90.00 90.00 93.07
With the nearest neighbours (Å) after each atom.
Element x y z (fractional)
In1 0.0000 0.0000 0.9985  4 Zr 3.04-3.15, 4 In 3.11-3.22
In2 0.5000 0.5000 0.2130  4 In 3.11-3.22
Sr1 0.0000 0.0000 0.4917  4 In 3.51-3.60, 4 Sr 3.54, 4 Zr 3.68-3.77
Zr1 0.5000 0.5000 0.7969  4 In 3.04-3.15

Results
The calculated volume is 113.2 Å³/cell. Its symmetry is Cmm2 (35). Its formation enthalpy at 0 K is 0.03 eV per atom.